## CsH3Cl6 (PBE)

Data for a geometry-optimized CsH3Cl6 structure.

a = 9.0977 Å, b = 6.9521 Å, c = 6.9521 Å
α = 102.39°, β = 115.86°, γ = 115.86°
With the nearest neighbours (Å) after each atom.
Atoms (fractional coordinates):
Cs (0.2724, 0.0000, 0.0000)  9 Cl 3.65-3.70
H (0.9627, 0.3450, 0.0000)  1 Cl 1.33
H (0.9627, 0.0000, 0.3450)  1 Cl 1.33
H (0.6177, 0.6550, 0.6550)  1 Cl 1.33
Cl (0.1247, 0.0000, 0.4181)  1 H 1.33
Cl (0.1247, 0.4181, 0.0000)  1 H 1.33
Cl (0.7180, 0.0000, 0.2645)  1 H 2.05
Cl (0.7180, 0.2645, 0.0000)  1 H 2.05
Cl (0.4535, 0.7355, 0.7355)  1 H 2.05
Cl (0.7066, 0.5819, 0.5819)  1 H 1.33

## Properties
The calculation puts the total magnetization at 2.0 μB per formula unit. The total energy is -2.766 eV per atom.